Record 1
LiTiTeRh2 | PBE-GGA | optimized geometry

Values from the calculation:
Symmetry = P4/mmm
Total magnetization = 0.000 μB per atom
Total DFT energy (no corrections) = -4.9248 eV per atom
Crystal system = tetragonal

abc: 4.845 4.489 4.845
angles: 90.00 90.00 90.00
Atoms (fractional coordinates):
Te  0.000  0.000  0.000
Rh  0.000  0.000  0.500
Rh  0.500  0.000  0.000
Li  0.000  0.500  0.000
Ti  0.500  0.500  0.500


Record 2
LiTh2Rh4 | PBE-GGA | optimized geometry

Values from the calculation:
Symmetry = I4/mmm
Total magnetization = 0.000 μB per atom
Total DFT energy (no corrections) = -7.2157 eV per atom
Crystal system = tetragonal

abc: 5.711 5.711 5.711
angles: 92.91 118.33 118.33
Atoms (fractional coordinates):
Li  0.000  0.000  0.000
Th  0.500  0.500  0.000
Th  0.500  0.000  0.500
Rh  0.500  0.000  0.000
Rh  0.500  0.500  0.500
Rh  0.000  0.000  0.500
Rh  0.000  0.500  0.000


Record 3
Li2ThRh2 | PBE-GGA | optimized geometry

Values from the calculation:
Symmetry = C2/m
Total magnetization = 0.000 μB per atom
Total DFT energy (no corrections) = -5.6402 eV per atom
Crystal system = monoclinic

abc: 3.690 3.690 7.144
angles: 74.79 74.79 90.19
Atoms (fractional coordinates):
Li  0.250  0.750  0.500
Li  0.750  0.250  0.500
Th  0.000  0.000  0.000
Rh  0.603  0.603  0.789
Rh  0.397  0.397  0.211


Record 4
LiThRh4 | PBE-GGA | optimized geometry

Values from the calculation:
Symmetry = F-43m
Total magnetization = 0.000 μB per atom
Total DFT energy (no corrections) = -6.9792 eV per atom
Crystal system = cubic

abc: 5.291 5.291 5.291
angles: 60.00 60.00 60.00
Atoms (fractional coordinates):
Rh  0.624  0.624  0.127
Rh  0.624  0.127  0.624
Rh  0.624  0.624  0.624
Rh  0.127  0.624  0.624
Th  0.000  0.000  0.000
Li  0.250  0.250  0.250


Record 5
LiTh3Rh5 | PBE-GGA | optimized geometry

Values from the calculation:
Symmetry = P6_3/mcm
Total magnetization = 0.000 μB per atom
Total DFT energy (no corrections) = -7.4949 eV per atom
Crystal system = hexagonal

abc: 5.838 8.412 8.412
angles: 120.00 90.00 90.00
Atoms (fractional coordinates):
Li  0.000  0.000  0.000
Li  0.500  0.000  0.000
Th  0.750  0.359  0.359
Th  0.750  0.000  0.641
Th  0.750  0.641  0.000
Th  0.250  0.641  0.641
Th  0.250  0.000  0.359
Th  0.250  0.359  0.000
Rh  0.000  0.667  0.333
Rh  0.500  0.333  0.667
Rh  0.000  0.333  0.667
Rh  0.500  0.667  0.333
Rh  0.750  0.691  0.691
Rh  0.750  0.000  0.309
Rh  0.750  0.309  0.000
Rh  0.250  0.309  0.309
Rh  0.250  0.000  0.691
Rh  0.250  0.691  0.000


Record 6
Li2ThRh3 | PBE-GGA | optimized geometry

Values from the calculation:
Symmetry = Cmmm
Total magnetization = 0.000 μB per atom
Total DFT energy (no corrections) = -6.0035 eV per atom
Crystal system = orthorhombic

abc: 4.485 7.116 6.376
angles: 90.00 90.00 71.61
Atoms (fractional coordinates):
Li  0.000  0.000  0.000
Li  0.000  0.000  0.500
Li  0.330  0.341  0.500
Li  0.670  0.659  0.500
Th  0.354  0.293  0.000
Th  0.646  0.707  0.000
Rh  0.834  0.333  0.735
Rh  0.500  0.000  0.287
Rh  0.166  0.667  0.265
Rh  0.834  0.333  0.265
Rh  0.166  0.667  0.735
Rh  0.500  0.000  0.713